This record from Alexandria via LeMat-Bulk describes a relaxed MgCdIn crystal. The functional is PBE.

Cell and atoms, written as POSCAR:
```
MgCdIn
1.0
5.040 0.000 0.000
-2.520 4.365 0.000
0.000 0.000 3.241
Mg Cd In
1 1 1
Cartesian
0.000 0.000 0.000 Mg
2.520 1.455 1.602 Cd
0.000 2.910 1.615 In
```

total moment = 0.0000 μB per atom
formation energy = -0.037 eV/atom
symmetry = P3m1, No. 156
energy = -1.79 eV/atom